(1)
# WAuI2O | the Alexandria database | GGA+U | relaxed
data_WAuI2O
_symmetry_space_group_name_H-M 'P 4/m m m'
_symmetry_Int_Tables_number 123
_symmetry_space_group_name_Hall '-P 4 2'
_cell_length_a 5.765
_cell_length_b 5.765
_cell_length_c 4.005
_cell_angle_alpha 90.00
_cell_angle_beta 90.00
_cell_angle_gamma 90.00
loop_
_atom_site_label
_atom_site_type_symbol
_atom_site_fract_x
_atom_site_fract_y
_atom_site_fract_z
W1 W 0.000 0.000 0.000
Au1 Au 0.500 0.500 0.500
I1 I 0.000 0.500 0.500
O1 O 0.500 0.500 0.000
# **Crystal system**: tetragonal
# **D(E_F)**: 3.74 states/eV/cell
# **Energy relative to the lowest polymorph listed for this composition**: 0.900 eV per atom

(2)
# Li2NiPt2O6 | the Alexandria database | GGA+U | relaxed
data_Li2NiPt2O6
_symmetry_space_group_name_H-M 'C 1 2/m 1'
_symmetry_Int_Tables_number 12
_cell_length_a 5.312
_cell_length_b 9.306
_cell_length_c 5.171
_cell_angle_alpha 90.00
_cell_angle_beta 110.32
_cell_angle_gamma 90.00
loop_
_symmetry_equiv_pos_as_xyz
'x,y,z'
'-x,-y,-z'
'-x,y,-z'
'x,-y,z'
'x+1/2,y+1/2,z'
'-x+1/2,-y+1/2,-z'
'-x+1/2,y+1/2,-z'
'x+1/2,-y+1/2,z'
loop_
_atom_site_label
_atom_site_type_symbol
_atom_site_fract_x
_atom_site_fract_y
_atom_site_fract_z
Li1 Li 0.000 0.167 0.000
Ni1 Ni 0.000 0.000 0.500
Pt1 Pt 0.000 0.336 0.500
O1 O 0.242 0.175 0.720
O2 O 0.245 0.500 0.715
# **Crystal system**: monoclinic
# **D(E_F)**: 0.00 states/eV/cell

| no. | V (Å³/cell) | VASP energy (eV/atom) |
| --- | --- | --- |
| 1 | 133.1 | -2.905 |
| 2 | 239.7 | -5.441 |